The following is a PBE+U calculation of an optimized crystal structure of NaAcMoF6, from the Alexandria database.

```
NaAcMoF6
1.0
6.042 0.000 0.000
-3.021 5.233 0.000
0.000 0.000 9.572
Na Ac Mo F
2 2 2 12
Cartesian
0.000 0.000 0.000 Na
0.000 0.000 4.786 Na
0.000 3.488 2.393 Ac
3.021 1.744 7.179 Ac
0.000 3.488 7.179 Mo
3.021 1.744 2.393 Mo
-0.876 1.838 5.989 F
-1.868 3.555 8.369 F
0.876 1.838 8.369 F
-0.991 5.073 5.989 F
2.030 0.160 1.203 F
1.153 1.678 3.583 F
1.868 3.555 5.989 F
0.991 5.073 8.369 F
4.013 0.160 3.583 F
2.145 3.395 1.203 F
4.889 1.678 1.203 F
3.897 3.395 3.583 F
```

Uncorrected energy: -5.521 eV per atom
Volume: 16.8 Å³ per atom
SG: P-31c, No. 163